The following is a GGA-PBE calculation of a relaxed W crystal, from OQMD.

abc: 4.3518 4.3518 4.9662
angles: 90.00 90.00 120.00
Space group P6_3/mmc (No. 194)
Symmetry-distinct sites (fractional):
W 0.0000 0.0000 0.2500 [2 per cell]
W 0.3333 0.6667 0.2500 [2 per cell]

Output
Calculated volume   20.4 Å³/f.u.
Offset from the most stable computed form   1657 meV/atom
E_form   1657 meV per atom

---

The following is a GGA-PBE calculation of a relaxed W crystal, from OQMD.

abc: 6.9332 6.9332 6.9332
angles: 90.00 90.00 90.00
Space group P4_132 (No. 213)
Symmetry-distinct sites (fractional):
W 0.0535 0.0535 0.0535 [8 per cell]
W 0.0567 0.8750 0.6933 [12 per cell]

Output
Calculated volume   16.7 Å³/f.u.
Offset from the most stable computed form   325 meV/atom
E_form   325 meV per atom

---

The following is a GGA-PBE calculation of a relaxed W crystal, from OQMD.

abc: 9.7915 9.7915 5.1434
angles: 90.00 90.00 90.00
Space group P4_2/mnm (No. 136)
Symmetry-distinct sites (fractional):
W 0.0000 0.0000 0.0000 [2 per cell]
W 0.0343 0.3694 0.5000 [8 per cell]
W 0.0629 0.2589 0.0000 [8 per cell]
W 0.1007 0.1007 0.5000 [4 per cell]
W 0.1860 0.8140 0.2513 [8 per cell]

Output
Calculated volume   16.4 Å³/f.u.
Offset from the most stable computed form   173 meV/atom
E_form   173 meV per atom

---

The following is a GGA-PBE calculation of a relaxed W crystal, from OQMD.

abc: 5.1926 5.1926 27.9448
angles: 90.00 90.00 120.00
Space group R-3m (No. 166, hexagonal axes)
Symmetry-distinct sites (fractional):
W 0.0000 0.0000 0.0000 [3 per cell]
W 0.0000 0.0000 0.1675 [6 per cell]
W 0.0000 0.0000 0.3481 [6 per cell]
W 0.0000 0.0000 0.4543 [6 per cell]
W 0.0027 0.5013 0.4117 [18 per cell]

Output
Calculated volume   16.7 Å³/f.u.
Offset from the most stable computed form   358 meV/atom
E_form   358 meV per atom

---

The following is a GGA-PBE calculation of a relaxed YZn2W crystal, from OQMD.

abc: 6.6834 6.6834 6.6834
angles: 90.00 90.00 90.00
Space group F-43m (No. 216)
Symmetry-distinct sites (fractional):
Y 0.0000 0.0000 0.0000 [4 per cell]
Zn 0.0000 0.0000 0.5000 [4 per cell]
Zn 0.2500 0.2500 0.2500 [4 per cell]
W 0.2500 0.2500 0.7500 [4 per cell]

Output
Calculated volume   74.6 Å³/f.u.
E_form   623 meV per atom

---

The following is a GGA-PBE calculation of a relaxed ZnW2 crystal, from OQMD.

abc: 11.3781 11.3781 11.3781
angles: 90.00 90.00 90.00
Space group Fd-3m (No. 227, origin choice 2)
Symmetry-distinct sites (fractional):
Zn 0.1250 0.1250 0.1250 [8 per cell]
W 0.0000 0.0000 0.0000 [16 per cell]

Output
Calculated volume   184.1 Å³/f.u.
Offset from the most stable computed form   3833 meV/atom
E_form   4588 meV per atom

---

The following is a GGA-PBE calculation of a relaxed ZnW2 crystal, from OQMD.

abc: 5.8975 5.8975 5.8975
angles: 90.00 90.00 90.00
Space group Fm-3m (No. 225)
Symmetry-distinct sites (fractional):
Zn 0.0000 0.0000 0.0000 [4 per cell]
W 0.2500 0.2500 0.2500 [8 per cell]

Output
Calculated volume   51.3 Å³/f.u.
Offset from the most stable computed form   431 meV/atom
E_form   1186 meV per atom

---

The following is a GGA-PBE calculation of a relaxed Zn12W crystal, from OQMD.

abc: 8.5804 8.5804 5.0223
angles: 90.00 90.00 90.00
Space group I4/mmm (No. 139)
Symmetry-distinct sites (fractional):
Zn 0.0000 0.2066 0.0000 [8 per cell]
Zn 0.0000 0.3476 0.5000 [8 per cell]
Zn 0.2500 0.2500 0.2500 [8 per cell]
W 0.0000 0.0000 0.5000 [2 per cell]

Output
Calculated volume   184.9 Å³/f.u.
E_form   185 meV per atom

---

Q: The highest E_form belongs to which entry?
A: number 6

---

Q: The lowest E_form belongs to which entry?
A: number 3